A relaxed SrTl4Pb15 crystal. Source: Alexandria, functional PBE-GGA.

Summary:
Symmetry: No. 123
Raw total energy, eV/cell: -67.7
Energy of formation from the pure elements, eV per atom: -0.05

Cell: 5.041 5.041 24.890 Å, 90.00 90.00 90.00°
Fractional positions:
Sr1 0.000 0.000 0.000
Tl1 0.000 0.000 0.202
Tl2 0.000 0.000 0.400
Tl3 0.000 0.000 0.600
Tl4 0.000 0.000 0.798
Pb1 0.500 0.500 0.000
Pb2 0.500 0.500 0.203
Pb3 0.500 0.500 0.400
Pb4 0.500 0.500 0.600
Pb5 0.500 0.500 0.797
Pb6 0.500 0.000 0.103
Pb7 0.500 0.000 0.300
Pb8 0.500 0.000 0.500
Pb9 0.500 0.000 0.700
Pb10 0.500 0.000 0.897
Pb11 0.000 0.500 0.103
Pb12 0.000 0.500 0.300
Pb13 0.000 0.500 0.500
Pb14 0.000 0.500 0.700
Pb15 0.000 0.500 0.897



A relaxed AlSe2BrCl crystal. Source: Alexandria, functional PBE-GGA.

Summary:
Symmetry: No. 123
Polymorph energy (0 for the lowest one), eV/atom: 0.543
Raw total energy, eV/cell: -11.2

Cell: 4.805 4.805 7.021 Å, 90.00 90.00 90.00°
Fractional positions:
Al1 0.500 0.500 0.500
Se1 0.000 0.500 0.000
Se2 0.500 0.000 0.000
Br1 0.000 0.000 0.500
Cl1 0.000 0.000 0.000



A relaxed CaDyAl crystal. Source: Alexandria, functional PBE-GGA.

Summary:
Symmetry: No. 107
Polymorph energy (0 for the lowest one), eV/atom: 0.000
Raw total energy, eV/cell: -10.9
Energy of formation from the pure elements, eV per atom: -0.17

Cell: 3.582 3.582 7.152 Å, 104.50 104.50 90.00°
Fractional positions:
Ca1 0.023 0.023 0.045
Al1 0.674 0.674 0.347
Dy1 0.304 0.304 0.607



A relaxed LiHoSc2Te4 crystal. Source: Alexandria, functional PBE-GGA.

Summary:
Symmetry: No. 10
Raw total energy, eV/cell: -41.3

Cell: 4.198 7.298 7.360 Å, 109.02 90.00 90.00°
Fractional positions:
Li1 0.000 0.000 0.000
Ho1 0.500 0.500 0.000
Sc1 0.500 0.000 0.500
Sc2 0.000 0.500 0.500
Te1 0.500 0.246 0.255
Te2 0.500 0.754 0.745
Te3 0.000 0.240 0.743
Te4 0.000 0.760 0.257



A relaxed NiHgIr2 crystal. Source: Alexandria, functional PBE-GGA.

Summary:
Symmetry: No. 119
Raw total energy, eV/cell: -22.1
Energy of formation from the pure elements, eV per atom: 0.42

Cell: 4.760 4.760 4.760 Å, 130.67 130.67 72.34°
Fractional positions:
Hg1 0.750 0.250 0.500
Ir1 0.000 0.000 0.000
Ir2 0.250 0.750 0.500
Ni1 0.500 0.500 0.000



A relaxed Tb6CoTe2 crystal. Source: Alexandria, functional PBE-GGA.

Summary:
Symmetry: No. 189
Raw total energy, eV/cell: -47.2

Cell: 8.411 8.411 3.914 Å, 90.00 90.00 120.00°
Fractional positions:
Tb1 0.000 0.402 0.500
Tb2 0.598 0.598 0.500
Tb3 0.402 0.000 0.500
Tb4 0.000 0.764 0.000
Tb5 0.236 0.236 0.000
Tb6 0.764 0.000 0.000
Co1 0.000 0.000 0.500
Te1 0.333 0.667 0.000
Te2 0.667 0.333 0.000



A relaxed Tb6CeHo4 crystal. Source: Alexandria, functional PBE-GGA.

Summary:
Symmetry: No. 121
Polymorph energy (0 for the lowest one), eV/atom: 0.175
Raw total energy, eV/cell: -48.5
Energy of formation from the pure elements, eV per atom: 0.32

Cell: 6.517 6.517 9.694 Å, 109.64 109.64 90.00°
Fractional positions:
Tb1 0.863 0.487 0.349
Tb2 0.487 0.863 0.349
Tb3 0.513 0.513 0.651
Tb4 0.000 0.500 0.000
Tb5 0.137 0.137 0.651
Tb6 0.500 0.000 0.000
Ce1 0.500 0.500 0.000
Ho1 0.053 0.685 0.738
Ho2 0.947 0.947 0.262
Ho3 0.685 0.053 0.738
Ho4 0.315 0.315 0.262



A relaxed Cd2AgMo crystal. Source: Alexandria, functional PBE-GGA.

Summary:
Symmetry: No. 25
Polymorph energy (0 for the lowest one), eV/atom: 0.140
Raw total energy, eV/cell: -14.0
Energy of formation from the pure elements, eV per atom: 0.37

Cell: 4.982 2.791 5.358 Å, 89.98 90.00 90.00°
Fractional positions:
Ag1 0.500 0.626 0.781
Cd1 0.000 0.124 0.956
Cd2 0.500 0.125 0.305
Mo1 0.000 0.625 0.458



A relaxed LiNd2InH crystal. Source: Alexandria, functional PBE-GGA.

Summary:
Symmetry: No. 123
Raw total energy, eV/cell: -19.5

Cell: 4.250 5.099 5.099 Å, 90.00 90.00 90.00°
Fractional positions:
Li1 0.500 0.000 0.000
Nd1 0.000 0.000 0.500
Nd2 0.000 0.500 0.000
In1 0.500 0.500 0.500
H1 0.000 0.000 0.000



A relaxed TbHoH2 crystal. Source: Alexandria, functional PBE-GGA.

Summary:
Symmetry: No. 160
Polymorph energy (0 for the lowest one), eV/atom: 0.079
Raw total energy, eV/cell: -17.1

Cell: 3.489 3.489 6.186 Å, 73.62 73.62 60.00°
Fractional positions:
Tb1 0.491 0.491 0.527
Ho1 0.671 0.671 0.987
H1 0.077 0.077 0.768
H2 0.261 0.261 0.218



A relaxed Pr12Ir5Rh3 crystal. Source: Alexandria, functional PBE-GGA.

Summary:
Symmetry: No. 230
Raw total energy, eV/cell: -511.6
Energy of formation from the pure elements, eV per atom: -0.21

Cell: 14.787 14.787 14.787 Å, 109.47 109.47 109.47°
Fractional positions:
Rh1 0.750 0.375 0.125
Rh2 0.875 0.750 0.125
Rh3 0.375 0.750 0.625
Rh4 0.250 0.125 0.375
Rh5 0.875 0.125 0.250
Rh6 0.375 0.625 0.250
Rh7 0.625 0.375 0.750
Rh8 0.125 0.875 0.750
Rh9 0.750 0.875 0.625
Rh10 0.625 0.250 0.375
Rh11 0.125 0.250 0.875
Rh12 0.250 0.625 0.875
Ir1 0.125 0.375 0.250
Ir2 0.000 0.500 0.000
Ir3 0.000 0.000 0.000
Ir4 0.375 0.250 0.125
Ir5 0.500 0.000 0.500
Ir6 0.500 0.500 0.000
Ir7 0.125 0.750 0.375
Ir8 0.750 0.125 0.875
Ir9 0.750 0.625 0.375
Ir10 0.375 0.125 0.750
Ir11 0.625 0.875 0.250
Ir12 0.500 0.500 0.500
Ir13 0.500 0.000 0.000
Ir14 0.000 0.000 0.500
Ir15 0.250 0.375 0.625
Ir16 0.250 0.875 0.125
Ir17 0.000 0.500 0.500
Ir18 0.875 0.250 0.625
Ir19 0.625 0.750 0.875
Ir20 0.875 0.625 0.750
Pr1 0.719 0.128 0.045
Pr2 0.326 0.545 0.417
Pr3 0.955 0.372 0.281
Pr4 0.545 0.219 0.128
Pr5 0.591 0.719 0.674
Pr6 0.955 0.583 0.174
Pr7 0.326 0.781 0.409
Pr8 0.083 0.909 0.128
Pr9 0.583 0.955 0.674
Pr10 0.719 0.591 0.174
Pr11 0.781 0.455 0.372
Pr12 0.826 0.917 0.045
Pr13 0.128 0.719 0.545
Pr14 0.372 0.417 0.091
Pr15 0.091 0.917 0.372
Pr16 0.409 0.128 0.583
Pr17 0.091 0.174 0.219
Pr18 0.455 0.674 0.083
Pr19 0.826 0.909 0.281
Pr20 0.128 0.409 0.083
Pr21 0.372 0.955 0.781
Pr22 0.583 0.628 0.409
Pr23 0.917 0.826 0.545
Pr24 0.781 0.326 0.909
Pr25 0.417 0.372 0.591
Pr26 0.083 0.174 0.455
Pr27 0.219 0.674 0.091
Pr28 0.174 0.091 0.719
Pr29 0.628 0.045 0.219
Pr30 0.872 0.591 0.917
Pr31 0.545 0.326 0.917
Pr32 0.591 0.872 0.417
Pr33 0.909 0.826 0.781
Pr34 0.909 0.083 0.628
Pr35 0.872 0.281 0.455
Pr36 0.174 0.083 0.955
Pr37 0.628 0.583 0.909
Pr38 0.417 0.045 0.326
Pr39 0.281 0.409 0.826
Pr40 0.219 0.545 0.628
Pr41 0.917 0.091 0.872
Pr42 0.674 0.219 0.591
Pr43 0.455 0.781 0.872
Pr44 0.045 0.417 0.826
Pr45 0.409 0.281 0.326
Pr46 0.045 0.628 0.719
Pr47 0.674 0.455 0.583
Pr48 0.281 0.872 0.955



A relaxed Nd2YEr8 crystal. Source: Alexandria, functional PBE-GGA.

Summary:
Symmetry: No. 12
Polymorph energy (0 for the lowest one), eV/atom: 0.016
Raw total energy, eV/cell: -50.6
Energy of formation from the pure elements, eV per atom: 0.17

Cell: 6.592 6.630 8.883 Å, 99.26 111.78 90.00°
Fractional positions:
Nd1 0.755 0.689 0.510
Nd2 0.245 0.311 0.490
Y1 0.000 0.000 0.000
Er1 0.826 0.402 0.174
Er2 0.652 0.598 0.826
Er3 0.800 0.197 0.600
Er4 0.200 0.803 0.400
Er5 0.348 0.402 0.174
Er6 0.174 0.598 0.826
Er7 0.588 0.905 0.177
Er8 0.412 0.095 0.823